(1)
Here is TaVB4 at its PBEsol-relaxed geometry from the Alexandria database. Energies are from meta-GGA SCAN.

As for the crystal system: hexagonal. The value obtained for the energy relative to the elements is -696.7 meV/atom. The total magnetization is 0.003 μB per formula unit. Its volume is 50.2 Å³ per cell.

It has space group P6/mmm (No. 191), with a = 3.0432 Å, b = 3.0432 Å, c = 6.2598 Å, α = 90.00°, β = 90.00° and γ = 120.00°. The inequivalent atoms are Ta at (0.0000, 0.0000, 0.0000), V at (0.0000, 0.0000, 0.5000) and B at (0.3333, 0.6667, 0.2636).

=====

(2)
Here is HoUTe4 at its PBEsol-relaxed geometry from the Alexandria database. Energies are from meta-GGA SCAN.

The energy is -51.212 eV per atom. As for the crystal system: orthorhombic. The total magnetization is 2.266 μB per formula unit. Its volume is 339.7 Å³ per cell.

It has space group Imm2 (No. 44), with a = 4.079 Å, b = 6.018 Å, c = 13.838 Å, α = 90.00°, β = 90.00° and γ = 90.00°. The inequivalent atoms are Ho at (0.000, 0.000, 0.000), U at (0.000, 0.000, 0.274), Te at (0.000, 0.251, 0.639), Te at (0.000, 0.500, 0.338) and Te at (0.000, 0.500, 0.934).

=====

(3)
Here is ZrAl2BPb at its PBEsol-relaxed geometry from the Alexandria database. Energies are from meta-GGA SCAN.

As for the crystal system: tetragonal. The value obtained for the energy relative to the elements is 1053.9 meV/atom. The total magnetization is 0.000 μB per formula unit. Its volume is 120.9 Å³ per cell.

It has space group P4/mmm (No. 123), with a = 5.214 Å, b = 5.214 Å, c = 4.448 Å, α = 90.00°, β = 90.00° and γ = 90.00°. The inequivalent atoms are Zr at (0.000, 0.000, 0.000), Al at (0.000, 0.500, 0.000), B at (0.000, 0.000, 0.500) and Pb at (0.500, 0.500, 0.500).